This record from Alexandria describes a relaxed W2AuBr crystal. The functional is PBE.

Values from the calculation:
polymorph energy (0 for the lowest one) = 0.0000 eV per atom
magnetic moment = 0.00 μB/cell
uncorrected formation energy = 12.70 kcal/mol of atoms
E_tot = -7.16 eV per atom

CIF file:
```
data_W2AuBr
_cell_length_a 2.9647
_cell_length_b 2.9647
_cell_length_c 29.1950
_cell_angle_alpha 90.00
_cell_angle_beta 90.00
_cell_angle_gamma 120.00
_space_group_name_H-M_alt 'R 3 m'
_space_group_IT_number 160
_space_group_name_Hall 'R 3 -2"'
loop_
_atom_site_label
_atom_site_fract_x
_atom_site_fract_y
_atom_site_fract_z
W1 0.0000 0.0000 0.0000
W2 0.0000 0.0000 0.2545
Au1 0.0000 0.0000 0.5095
Br1 0.0000 0.0000 0.7352
```